# 1
# ReBiPb2O6, optimized geometry, DFT PBE
data_ReBiPb2O6
_chemical_formula_sum 'Re2 Bi2 Pb4 O12'
_cell_length_a 8.247
_cell_length_b 8.246
_cell_length_c 6.459
_cell_angle_alpha 90.00
_cell_angle_beta 129.57
_cell_angle_gamma 90.00
_symmetry_space_group_name_H-M 'C 1 m 1'
_symmetry_Int_Tables_number 8
loop_
_symmetry_equiv_pos_as_xyz
'x,y,z'
'x,-y,z'
'x+1/2,y+1/2,z'
'x+1/2,-y+1/2,z'
loop_
_atom_site_label
_atom_site_type_symbol
_atom_site_fract_x
_atom_site_fract_y
_atom_site_fract_z
Re1 Re 0.000 0.000 0.000
Bi1 Bi 0.432 0.000 0.864
Pb1 Pb 0.421 0.250 0.343
O1 O 0.033 0.240 0.065
O2 O 0.211 0.000 0.424
O3 O 0.273 0.000 0.065
O4 O 0.293 0.500 0.065
O5 O 0.321 0.500 0.642
# Fermi-level density of states ... 6.45 states/eV/cell
# Formation energy from raw total energies ... -1.20 eV per atom
# Calculated volume ... 338.6 Å³ per cell
# Crystal system ... monoclinic



# 2
# NdDy2HgN, optimized geometry, DFT PBE
data_NdDy2HgN
_chemical_formula_sum 'Nd1 Dy2 Hg1 N1'
_cell_length_a 4.810
_cell_length_b 4.810
_cell_length_c 5.017
_cell_angle_alpha 90.00
_cell_angle_beta 90.00
_cell_angle_gamma 90.00
_symmetry_space_group_name_H-M 'P 4/m m m'
_symmetry_Int_Tables_number 123
_symmetry_space_group_name_Hall '-P 4 2'
loop_
_atom_site_label
_atom_site_type_symbol
_atom_site_fract_x
_atom_site_fract_y
_atom_site_fract_z
Nd1 Nd 0.000 0.000 0.000
Dy1 Dy 0.000 0.500 0.500
Hg1 Hg 0.500 0.500 0.000
N1 N 0.000 0.000 0.500
# Fermi-level density of states ... 4.12 states/eV/cell
# Formation energy from raw total energies ... -0.86 eV per atom
# Calculated volume ... 116.1 Å³ per cell
# Crystal system ... tetragonal